1.
Cs2SrZnCl6, relaxed, DFT GGA-PBE; E_tot = -0.127 hartree per atom; space-group type = Fm-3m, No. 225; uncorrected formation energy = -43.17 kcal/mol of atoms; spin magnetization = 0.00 μB/f.u.
1.0
0.000 5.377 5.377
5.377 0.000 5.377
5.377 5.377 0.000
Cs Sr Zn Cl
2 1 1 6
direct
0.250 0.250 0.250
0.750 0.750 0.750
0.000 0.000 0.000
0.500 0.500 0.500
0.267 0.267 0.733
0.267 0.733 0.267
0.267 0.733 0.733
0.733 0.267 0.267
0.733 0.267 0.733
0.733 0.733 0.267


2.
Mo2SeI2, relaxed, DFT GGA-PBE; E_tot = -0.183 hartree per atom; ΔE to the lowest computed polymorph = 0.007 eV per atom; space-group type = P4/mbm, No. 127; uncorrected formation energy = 15.24 kcal/mol of atoms; spin magnetization = 0.00 μB/f.u.
1.0
6.962 0.000 0.000
0.000 6.962 0.000
0.000 0.000 4.838
Mo Se I
4 2 4
direct
0.114 0.386 0.000
0.386 0.886 0.000
0.614 0.114 0.000
0.886 0.614 0.000
0.000 0.000 0.000
0.500 0.500 0.000
0.171 0.671 0.500
0.329 0.171 0.500
0.671 0.829 0.500
0.829 0.329 0.500


3.
PrSmTmTh2, relaxed, DFT GGA-PBE; E_tot = -0.197 hartree per atom; space-group type = Cmcm, No. 63; calculated formation energy = 0.39 eV/atom; spin magnetization = 0.00 μB/f.u.
1.0
3.349 -7.856 0.000
3.349 7.856 0.000
0.000 0.000 6.714
Pr Sm Tm Th
2 2 2 4
direct
0.152 0.848 0.750
0.848 0.152 0.250
0.261 0.739 0.250
0.739 0.261 0.750
0.349 0.651 0.750
0.651 0.349 0.250
0.254 0.254 0.000
0.254 0.254 0.500
0.746 0.746 0.000
0.746 0.746 0.500


4.
Ba2Cd12Ag3Hg, relaxed, DFT GGA-PBE; E_tot = -0.045 hartree per atom; space-group type = R-3m, No. 166; calculated formation energy = 0.09 eV/atom; spin magnetization = 0.00 μB/f.u.
1.0
5.128 2.961 6.286
-5.128 2.961 6.286
0.000 -5.921 6.286
Ba Cd Ag Hg
2 12 3 1
direct
0.110 0.110 0.110
0.890 0.890 0.890
0.150 0.642 0.642
0.194 0.194 0.660
0.194 0.660 0.194
0.340 0.806 0.806
0.358 0.358 0.850
0.358 0.850 0.358
0.642 0.150 0.642
0.642 0.642 0.150
0.660 0.194 0.194
0.806 0.340 0.806
0.806 0.806 0.340
0.850 0.358 0.358
0.000 0.500 0.500
0.500 0.000 0.500
0.500 0.500 0.000
0.500 0.500 0.500


5.
Mg6TlAg, relaxed, DFT GGA-PBE; E_tot = -0.070 hartree per atom; ΔE to the lowest computed polymorph = 0.000 eV per atom; space-group type = P4/mmm, No. 123; calculated formation energy = -0.07 eV/atom; spin magnetization = 0.00 μB/f.u.
1.0
4.431 0.000 0.000
0.000 4.431 0.000
0.000 0.000 8.873
Mg Tl Ag
6 1 1
direct
0.000 0.000 0.000
0.000 0.000 0.500
0.000 0.500 0.235
0.000 0.500 0.765
0.500 0.000 0.235
0.500 0.000 0.765
0.500 0.500 0.500
0.500 0.500 0.000


6.
GaFe3H, relaxed, DFT GGA-PBE; E_tot = -0.235 hartree per atom; space-group type = Cm, No. 8; spin magnetization = 6.73 μB/f.u.
1.0
2.537 -4.086 0.000
2.537 4.086 0.000
-1.326 0.000 4.973
Ga Fe H
2 6 2
direct
0.000 0.000 0.000
0.733 0.733 0.473
0.119 0.608 0.254
0.244 0.244 0.493
0.374 0.879 0.720
0.491 0.491 0.974
0.608 0.119 0.254
0.879 0.374 0.720
0.243 0.651 0.952
0.651 0.243 0.952


7.
Cd2AsPb2, relaxed, DFT GGA-PBE; E_tot = -0.097 hartree per atom; ΔE to the lowest computed polymorph = 0.052 eV per atom; space-group type = I4/mmm, No. 139; calculated formation energy = 0.15 eV/atom; spin magnetization = 0.00 μB/f.u.
1.0
-1.993 1.993 8.882
1.993 -1.993 8.882
1.993 1.993 -8.882
Cd As Pb
2 1 2
direct
0.250 0.750 0.500
0.750 0.250 0.500
0.000 0.000 0.000
0.410 0.410 0.000
0.590 0.590 0.000


8.
Pr2SmTe4, relaxed, DFT GGA-PBE; E_tot = -0.193 hartree per atom; ΔE to the lowest computed polymorph = 0.000 eV per atom; space-group type = C2/m, No. 12; uncorrected formation energy = -32.59 kcal/mol of atoms; spin magnetization = 0.00 μB/f.u.
1.0
8.364 -2.248 0.000
8.364 2.248 0.000
-3.628 0.000 7.023
Pr Sm Te
2 1 4
direct
0.239 0.239 0.228
0.761 0.761 0.772
0.500 0.500 0.500
0.129 0.129 0.476
0.381 0.381 0.058
0.619 0.619 0.942
0.871 0.871 0.524